Entry from Alexandria via LeMat-Bulk: a relaxed structure of MoPd2Pt2 (PBE).

Spin magnetization   0.0000 μB per atom
ΔE_f   132.7 kJ/mol of formula units
Space-group type   No. 127
Polymorph energy (0 for the lowest one)   0.00 eV/f.u.

Geometry as extended XYZ:
```
10
Lattice="7.4087 0.0000 0.0000 0.0000 7.4087 0.0000 0.0000 0.0000 2.9356" Properties=species:S:1:pos:R:3 pbc="T T T"
Pd 6.4458 4.6673 0.0000
Pd 4.6673 0.9629 0.0000
Pd 2.7414 6.4458 0.0000
Pd 0.9629 2.7414 0.0000
Pt 6.1528 2.4484 1.4678
Pt 1.2559 4.9603 1.4678
Pt 4.9603 6.1528 1.4678
Pt 2.4484 1.2559 1.4678
Mo 0.0000 0.0000 0.0000
Mo 3.7044 3.7044 0.0000
```

=====

Entry from Alexandria via LeMat-Bulk: a relaxed structure of MoPd2Pt4 (PBE).

Spin magnetization   0.0001 μB per atom
ΔE_f   40.4 kJ/mol of formula units
Space-group type   No. 63
Polymorph energy (0 for the lowest one)   0.82 eV/f.u.

Geometry as extended XYZ:
```
14
Lattice="4.6381 0.0000 0.0000 -2.3191 3.7903 0.0000 0.0000 0.0000 12.9792" Properties=species:S:1:pos:R:3 pbc="T T T"
Pd 2.3191 2.5666 7.1507
Pd 2.3191 2.5666 12.3181
Pd 0.0000 1.2237 0.6611
Pd 0.0000 1.2237 5.8285
Pt 2.3191 1.8869 4.5421
Pt 0.0000 0.5264 3.2448
Pt 2.3191 0.0000 6.4896
Pt 2.3191 1.8869 1.9475
Pt 0.0000 1.9034 11.0317
Pt 0.0000 1.9034 8.4372
Pt 2.3191 3.2639 9.7344
Pt 2.3191 0.0000 0.0000
Mo 0.0000 3.1374 3.2448
Mo 2.3191 0.6529 9.7344
```

=====

Entry from Alexandria via LeMat-Bulk: a relaxed structure of MoPd2Pt4 (PBE).

Spin magnetization   0.0000 μB per atom
ΔE_f   -38.4 kJ/mol of formula units
Space-group type   No. 65
Polymorph energy (0 for the lowest one)   0.00 eV/f.u.

Geometry as extended XYZ:
```
7
Lattice="-3.1582 0.2538 2.4390 -0.3804 -2.7128 -0.2103 6.5180 -0.1785 8.4585" Properties=species:S:1:pos:R:3 pbc="T T T"
Pt 3.7542 -2.5694 8.4061
Pt 4.6711 -1.1331 6.1663
Pt -0.7749 -0.0682 2.2812
Pt 1.4665 -1.7583 2.0819
Pd 2.0842 -2.1643 6.2014
Pd 0.8951 -0.4733 4.4858
Mo -0.1902 -1.3564 -0.1052
```

=====

Entry from Alexandria via LeMat-Bulk: a relaxed structure of MoPd3Pt4 (PBE).

Spin magnetization   0.0002 μB per atom
ΔE_f   -123.7 kJ/mol of formula units
Space-group type   No. 139
Polymorph energy (0 for the lowest one)   0.00 eV/f.u.

Geometry as extended XYZ:
```
8
Lattice="0.1038 2.7995 -2.8071 -0.7568 -2.7423 -2.7631 -7.4049 1.1799 3.7123" Properties=species:S:1:pos:R:3 pbc="T T T"
Pd -3.8363 2.0075 -0.9376
Pd -4.2216 -0.7704 -0.9202
Pd -0.3784 -1.3711 -1.3815
Pt -6.1960 0.9465 -2.0808
Pt -1.8619 0.2906 0.2229
Pt -5.8696 0.9176 0.7043
Pt -2.1883 0.3194 -2.5622
Mo 0.0519 1.3997 -1.4036
```

=====

Entry from Alexandria via LeMat-Bulk: a relaxed structure of MoPd8Pt2 (PBE).

Spin magnetization   0.0000 μB per atom
ΔE_f   -98.1 kJ/mol of formula units
Space-group type   No. 2
Polymorph energy (0 for the lowest one)   0.00 eV/f.u.

Geometry as extended XYZ:
```
11
Lattice="-4.1983 -2.0753 -1.2290 2.7727 -3.9178 0.4280 -2.2152 0.1943 7.0480" Properties=species:S:1:pos:R:3 pbc="T T T"
Pd -0.2135 -4.1101 4.5243
Pd -0.9483 -1.8096 3.0804
Pd 0.3452 -1.1278 0.6873
Pd -2.6924 -3.9892 3.1667
Pd -1.3854 -3.3221 0.7560
Pd -3.9859 -4.6710 5.5598
Pd -3.4273 -1.6887 1.7228
Pd -2.2554 -2.4767 5.4911
Pt -4.6987 -2.3271 4.1988
Pt 1.0579 -3.4717 2.0483
Mo -2.0992 -1.0376 -0.6145
```

=====

Entry from Alexandria via LeMat-Bulk: a relaxed structure of Mo2PdPt (PBE).

Spin magnetization   0.0000 μB per atom
ΔE_f   183.1 kJ/mol of formula units
Space-group type   No. 122
Polymorph energy (0 for the lowest one)   2.33 eV/f.u.

Geometry as extended XYZ:
```
8
Lattice="7.1703 0.0000 0.0000 0.0000 7.1703 0.0000 3.5852 3.5852 2.6486" Properties=species:S:1:pos:R:3 pbc="T T T"
Mo 8.9629 9.0493 1.9865
Mo 5.3777 5.2913 1.9865
Mo 1.7061 5.3777 0.6622
Mo 5.4642 1.7926 0.6622
Pt 0.0000 0.0000 0.0000
Pt 7.1703 3.5852 1.3243
Pd 3.5852 3.5852 0.0000
Pd 3.5852 7.1703 1.3243
```